# 1
Below is a relaxed Rb2LaSb2O6 crystal, with properties calculated at the PBE-GGA level.

a = 10.578 Å, b = 6.506 Å, c = 7.750 Å
α = 90.00°, β = 115.97°, γ = 90.00°
Space group C2/m (No. 12)
Unique sites:
1 Rb 0.207 0.000 0.170 (multiplicity 4)
2 La 0.000 0.000 0.500 (multiplicity 2)
3 Sb 0.067 0.500 0.229 (multiplicity 4)
4 O 0.034 0.263 0.742 (multiplicity 8)
5 O 0.245 0.000 0.562 (multiplicity 4)

## Properties
As for the theoretical density: 4.5 Mg/m³. As for the total moment: 2.0 Bohr magnetons per cell. The calculation puts the energy relative to the elements, uncorrected at -20.27 eV/f.u.


# 2
Below is a relaxed Rb2LaSbO6 crystal, with properties calculated at the PBE-GGA level.

a = 8.834 Å, b = 8.834 Å, c = 8.834 Å
α = 90.00°, β = 90.00°, γ = 90.00°
Space group Fm-3m (No. 225)
Unique sites:
1 Rb 0.250 0.250 0.250 (multiplicity 8)
2 La 0.000 0.000 0.000 (multiplicity 4)
3 Sb 0.000 0.000 0.500 (multiplicity 4)
4 O 0.000 0.000 0.272 (multiplicity 24)

## Properties
As for the theoretical density: 5.1 Mg/m³. As for the total moment: 8.1 Bohr magnetons per cell. The calculation puts the energy relative to the elements, uncorrected at -17.89 eV/f.u.


# 3
Below is a relaxed Rb3La3SbO8 crystal, with properties calculated at the PBE-GGA level.

a = 7.2963 Å, b = 7.2963 Å, c = 19.9850 Å
α = 90.00°, β = 90.00°, γ = 120.00°
Space group R-3m (No. 166, hexagonal axes)
Unique sites:
1 Rb 0.0000 0.5000 0.0000 (multiplicity 9)
2 La 0.0000 0.5000 0.5000 (multiplicity 9)
3 Sb 0.0000 0.0000 0.5000 (multiplicity 3)
4 O 0.0000 0.0000 0.2252 (multiplicity 6)
5 O 0.0356 0.5178 0.2225 (multiplicity 18)

## Properties
As for the theoretical density: 5.0 Mg/m³. As for the total moment: 0.0 Bohr magnetons per cell. The calculation puts the energy relative to the elements, uncorrected at -35.42 eV/f.u.